The following is a DFT calculation (GGA-PBE) of a relaxed CePaRuPt crystal.

The space group is F-43m (No. 216) and the conventional cell measures 6.9669, 6.9669 and 6.9669 Å, with angles of 90.00, 90.00 and 90.00 degrees. The distinct sites, in fractional coordinates, are Ce at (0.0000, 0.0000, 0.0000), Pa at (0.0000, 0.0000, 0.5000), Ru at (0.2500, 0.2500, 0.2500) and Pt at (0.2500, 0.2500, 0.7500).

The formation energy comes out at -214.0 kJ/mol of formula units. The total energy comes out at -131.86 eV for the cell shown. The energy above the most stable polymorph in this dataset comes out at 0.88 eV per formula unit.